Below is a geometry-optimized TbGa2Ni9 structure, with properties calculated at the PBE level.

Its electronic total energy is -5.32 eV per atom. The formation energy comes out at -9 kJ/mol of atoms. The value obtained for the offset from the most stable computed form is 189.6 meV per atom. Its space group is P6/mmm (191). Its density of states at the Fermi level is 1.5066 states/eV per atom. As for the total magnetization: 0.023 Bohr magnetons per cell.

Cell: 8.0478 8.0478 2.7275 Å, 90.00 90.00 120.00°
Positions (direct):
Tb 0.0000 0.0000 0.0000
Ga 0.3333 0.6667 0.0000
Ga 0.6667 0.3333 0.0000
Ni 0.0000 0.5000 0.0000
Ni 0.1843 0.3686 0.5000
Ni 0.1843 0.8157 0.5000
Ni 0.3686 0.1843 0.5000
Ni 0.5000 0.0000 0.0000
Ni 0.5000 0.5000 0.0000
Ni 0.6314 0.8157 0.5000
Ni 0.8157 0.1843 0.5000
Ni 0.8157 0.6314 0.5000